The following is a GGA+U calculation of a relaxed Fe2Ni2GeO6 crystal, from Alexandria.

Geometry as POSCAR:
```
Fe2Ni2GeO6
1.0
5.1187 0.0814 0.0508
-2.4592 4.4900 0.0508
-0.9839 -1.6912 4.9481
O Ni Fe Ge
6 2 2 1
Direct
0.0614 0.3893 0.7221
0.2166 0.2166 0.2818
0.9386 0.6107 0.2779
0.7834 0.7834 0.7182
0.6107 0.9386 0.2779
0.3893 0.0614 0.7221
0.6616 0.3384 0.5000
0.3384 0.6616 0.5000
0.1778 0.8222 0.0000
0.8222 0.1778 0.0000
0.0000 0.0000 0.5000
```

Properties
Final energy, Ry per atom: -0.4366
D(E_F), states/eV/f.u.: 0.00
SG: C2/m (12)
Spin magnetization, μB/f.u.: 12.05